KPdRhO4 | Alexandria | PBE-GGA | optimized geometry; uncorrected formation energy = -0.78 eV per atom; magnetization = 0.00 μB per cell
1.0
-3.2468 3.2957 4.5806
3.2468 -3.2957 4.5806
3.2468 3.2957 -4.5806
K Pd Rh O
2 2 2 8
Cartesian
0.0000 1.6479 1.1834
3.2468 1.6479 3.3972
3.2468 0.0000 0.0000
0.0000 0.0000 4.5806
1.6234 1.6479 -2.2903
1.6234 -1.6479 2.2903
3.2468 -0.3689 2.0576
3.2468 2.9268 -2.0576
1.9609 1.6479 -0.2437
4.5326 1.6479 -0.2437
-1.2858 1.6479 4.8243
1.2858 1.6479 4.8243
0.0000 0.3689 6.6382
0.0000 3.6646 2.5230

***

K3PdRh3O8 | Alexandria | PBE-GGA | optimized geometry; uncorrected formation energy = -0.97 eV per atom; magnetization = 0.00 μB per cell
1.0
3.1867 1.8399 5.9319
-3.1867 1.8399 5.9319
0.0000 -3.6797 5.9319
K Pd Rh O
3 1 3 8
Cartesian
-1.5934 -0.9199 5.9319
-1.5934 0.9199 11.8638
0.0000 1.8399 5.9319
0.0000 0.0000 8.8978
-3.1867 0.0000 8.8978
-1.5934 0.9199 2.9659
1.5934 0.9199 2.9659
-1.5977 -0.9224 9.8847
0.0000 0.0000 3.9723
0.0000 -1.8448 7.9110
-1.5977 0.9224 7.9110
1.5977 -0.9224 9.8847
0.0000 1.8448 9.8847
0.0000 0.0000 13.8234
1.5977 0.9224 7.9110